# 1
An optimized crystal structure of Ca2CdGaH, computed with GGA-PBE.

abc: 4.872 4.872 4.382
angles: 90.00 90.00 90.00
Atoms (fractional coordinates):
H1 0.000 0.000 0.000
Ga1 0.500 0.500 0.500
Cd1 0.000 0.000 0.500
Ca1 0.500 0.000 0.000
Ca2 0.000 0.500 0.000

Output
**Space group**: P4/mmm (123)
**Calculated volume**: 104.0 Å³ per cell
**Magnetic moment**: 0.0 μB per formula unit
**Energy relative to the lowest polymorph listed for this composition**: 0 meV per atom
**Total DFT energy (no corrections)**: -2.58 eV/atom

# 2
An optimized crystal structure of La6CeNd8, computed with GGA-PBE.

abc: 8.919 8.919 8.919
angles: 63.26 63.26 63.26
Site moments in Bohr magnetons follow the coordinates.
Atoms (fractional coordinates):
La1 0.541 0.237 0.095  0.02
La2 0.763 0.905 0.459  0.02
La3 0.237 0.095 0.541  0.02
La4 0.095 0.541 0.237  0.02
La5 0.459 0.763 0.905  0.02
La6 0.905 0.459 0.763  0.02
Nd1 0.886 0.296 0.234  0.02
Nd2 0.577 0.577 0.577  -0.01
Nd3 0.114 0.704 0.766  0.02
Nd4 0.423 0.423 0.423  -0.01
Nd5 0.296 0.234 0.886  0.02
Nd6 0.704 0.766 0.114  0.02
Nd7 0.766 0.114 0.704  0.02
Nd8 0.234 0.886 0.296  0.02
Ce1 0.000 0.000 0.000  0.72

Output
**Space group**: R-3 (148)
**Calculated volume**: 538.0 Å³ per cell
**Magnetic moment**: 1.4 μB per formula unit
**ΔE_f**: 1.59 eV per formula unit
**Total DFT energy (no corrections)**: -4.80 eV/atom

# 3
An optimized crystal structure of BaZnCdAu2, computed with GGA-PBE.

abc: 4.549 4.549 6.912
angles: 109.21 109.21 90.00
Atoms (fractional coordinates):
Cd1 0.250 0.750 0.500
Ba1 0.000 0.000 0.000
Au1 0.616 0.616 0.233
Au2 0.384 0.384 0.767
Zn1 0.750 0.250 0.500

Output
**Space group**: I-4m2 (119)
**Calculated volume**: 126.6 Å³ per cell
**Magnetic moment**: 0.0 μB per formula unit
**Energy relative to the lowest polymorph listed for this composition**: 0 meV per atom
**ΔE_f**: -2.40 eV per formula unit
**Total DFT energy (no corrections)**: -2.61 eV/atom

# 4
An optimized crystal structure of Ba2UPtSe6, computed with GGA-PBE.

abc: 6.964 6.964 7.760
angles: 116.63 116.72 90.00
Atoms (fractional coordinates):
Se1 0.727 0.727 0.454
Se2 0.315 0.162 0.999
Se3 0.273 0.274 0.546
Se4 0.838 0.316 0.000
Se5 0.685 0.839 0.000
Se6 0.162 0.685 0.000
U1 0.500 0.500 0.000
Ba1 0.250 0.751 0.500
Ba2 0.750 0.250 0.500
Pt1 0.000 0.000 0.000

Output
**Formation energy from raw total energies**: -1.224 eV per atom
**Space group**: P-1 (2)
**Calculated volume**: 290.7 Å³ per cell
**Magnetic moment**: 0.0 μB per formula unit
**Total DFT energy (no corrections)**: -5.43 eV/atom

# 5
An optimized crystal structure of Na2YZr, computed with GGA-PBE.

abc: 5.432 5.432 5.432
angles: 60.00 60.00 60.00
Site moments in Bohr magnetons follow the coordinates.
Atoms (fractional coordinates):
Y1 0.000 0.000 0.000  0.17
Zr1 0.500 0.500 0.500  0.68
Na1 0.250 0.250 0.250  0.00
Na2 0.750 0.750 0.750  0.00

Output
**Space group**: Fm-3m (225)
**Calculated volume**: 113.3 Å³ per cell
**Magnetic moment**: 1.5 μB per formula unit
**Energy relative to the lowest polymorph listed for this composition**: 0 meV per atom
**ΔE_f**: 2.85 eV per formula unit
**Total DFT energy (no corrections)**: -3.70 eV/atom

# 6
An optimized crystal structure of Te3Pd4Br4, computed with GGA-PBE.

abc: 8.613 8.965 9.272
angles: 109.42 97.36 90.56
Atoms (fractional coordinates):
Te1 0.859 0.705 0.033
Te2 0.380 0.146 0.708
Te3 0.620 0.854 0.292
Te4 0.800 0.530 0.292
Te5 0.141 0.295 0.967
Te6 0.200 0.470 0.708
Br1 0.559 0.688 0.704
Br2 0.972 0.901 0.637
Br3 0.289 0.863 0.004
Br4 0.028 0.099 0.363
Br5 0.711 0.137 0.996
Br6 0.221 0.673 0.301
Br7 0.779 0.327 0.699
Br8 0.441 0.312 0.296
Pd1 0.782 0.416 0.997
Pd2 0.510 0.587 0.289
Pd3 0.218 0.584 0.003
Pd4 0.430 0.228 0.001
Pd5 0.925 0.814 0.337
Pd6 0.490 0.413 0.711
Pd7 0.570 0.772 0.999
Pd8 0.075 0.186 0.663

Output
**Formation energy from raw total energies**: -0.372 eV per atom
**Space group**: P-1 (2)
**Calculated volume**: 668.6 Å³ per cell
**Magnetic moment**: 0.0 μB per formula unit
**Total DFT energy (no corrections)**: -3.73 eV/atom

# 7
An optimized crystal structure of CsZrTe2S, computed with GGA-PBE.

abc: 5.789 5.789 5.091
angles: 90.00 90.00 90.00
Atoms (fractional coordinates):
Cs1 0.500 0.500 0.500
Zr1 0.000 0.000 0.000
Te1 0.500 0.000 0.000
Te2 0.000 0.500 0.000
S1 0.000 0.000 0.500

Output
**Formation energy from raw total energies**: -0.898 eV per atom
**Space group**: P4/mmm (123)
**Calculated volume**: 170.6 Å³ per cell
**Magnetic moment**: 0.0 μB per formula unit
**Total DFT energy (no corrections)**: -4.86 eV/atom

# 8
An optimized crystal structure of AcPmPrHo, computed with GGA-PBE.

abc: 3.751 3.751 11.991
angles: 90.00 90.00 120.00
Atoms (fractional coordinates):
Ho1 0.667 0.333 0.668
Pm1 0.667 0.333 0.181
Ac1 0.333 0.667 0.921
Pr1 0.000 0.000 0.428

Output
**Space group**: P3m1 (156)
**Calculated volume**: 146.1 Å³ per cell
**Magnetic moment**: 0.0 μB per formula unit
**Energy relative to the lowest polymorph listed for this composition**: 0 meV per atom
**ΔE_f**: 0.21 eV per formula unit
**Total DFT energy (no corrections)**: -4.50 eV/atom

# 9
An optimized crystal structure of Dy12Ga3O5, computed with GGA-PBE.

abc: 13.234 13.234 13.234
angles: 109.47 109.47 109.47
Atoms (fractional coordinates):
Dy1 0.090 0.186 0.203
Dy2 0.297 0.887 0.984
Dy3 0.686 0.203 0.590
Dy4 0.590 0.703 0.686
Dy5 0.904 0.814 0.516
Dy6 0.590 0.887 0.404
Dy7 0.887 0.297 0.484
Dy8 0.314 0.516 0.404
Dy9 0.596 0.613 0.410
Dy10 0.314 0.797 0.410
Dy11 0.387 0.984 0.797
Dy12 0.096 0.186 0.484
Dy13 0.596 0.984 0.686
Dy14 0.410 0.113 0.596
Dy15 0.814 0.910 0.297
Dy16 0.910 0.096 0.613
Dy17 0.904 0.090 0.887
Dy18 0.016 0.404 0.814
Dy19 0.404 0.387 0.590
Dy20 0.703 0.113 0.016
Dy21 0.516 0.203 0.113
Dy22 0.016 0.613 0.703
Dy23 0.387 0.404 0.090
Dy24 0.703 0.590 0.186
Dy25 0.113 0.703 0.516
Dy26 0.797 0.314 0.910
Dy27 0.910 0.814 0.797
Dy28 0.613 0.016 0.203
Dy29 0.113 0.410 0.096
Dy30 0.404 0.016 0.314
Dy31 0.297 0.410 0.814
Dy32 0.410 0.297 0.314
Dy33 0.516 0.314 0.904
Dy34 0.186 0.096 0.984
Dy35 0.686 0.484 0.596
Dy36 0.984 0.387 0.297
Dy37 0.814 0.904 0.016
Dy38 0.613 0.596 0.910
Dy39 0.096 0.910 0.113
Dy40 0.203 0.686 0.090
Dy41 0.484 0.686 0.096
Dy42 0.203 0.516 0.613
Dy43 0.887 0.590 0.904
Dy44 0.090 0.904 0.387
Dy45 0.797 0.484 0.387
Dy46 0.484 0.797 0.887
Dy47 0.186 0.090 0.703
Dy48 0.984 0.596 0.186
Ga1 0.375 0.750 0.625
Ga2 0.125 0.875 0.750
Ga3 0.375 0.625 0.250
Ga4 0.625 0.375 0.750
Ga5 0.875 0.125 0.250
Ga6 0.875 0.750 0.125
Ga7 0.750 0.875 0.625
Ga8 0.750 0.375 0.125
Ga9 0.250 0.625 0.875
Ga10 0.250 0.125 0.375
Ga11 0.625 0.250 0.375
Ga12 0.125 0.250 0.875
O1 0.875 0.625 0.750
O2 0.375 0.125 0.750
O3 0.500 0.500 0.500
O4 0.750 0.125 0.875
O5 0.750 0.625 0.375
O6 0.000 0.500 0.000
O7 0.250 0.875 0.125
O8 0.125 0.375 0.250
O9 0.000 0.000 0.000
O10 0.000 0.500 0.500
O11 0.500 0.500 0.000
O12 0.500 0.000 0.000
O13 0.875 0.250 0.625
O14 0.000 0.000 0.500
O15 0.500 0.000 0.500
O16 0.375 0.250 0.125
O17 0.625 0.875 0.250
O18 0.250 0.375 0.625
O19 0.625 0.750 0.875
O20 0.125 0.750 0.375

Output
**Formation energy from raw total energies**: -1.600 eV per atom
**Space group**: Ia-3d (230)
**Calculated volume**: 1784.2 Å³ per cell
**Magnetic moment**: 0.0 μB per formula unit
**Total DFT energy (no corrections)**: -6.05 eV/atom

# 10
An optimized crystal structure of In2SnPb9, computed with GGA-PBE.

abc: 5.064 5.064 14.344
angles: 90.00 90.00 90.00
Atoms (fractional coordinates):
Pb1 0.500 0.000 0.500
Pb2 0.500 0.500 0.000
Pb3 0.000 0.500 0.835
Pb4 0.500 0.000 0.835
Pb5 0.000 0.500 0.500
Pb6 0.500 0.000 0.165
Pb7 0.500 0.500 0.332
Pb8 0.000 0.500 0.165
Pb9 0.500 0.500 0.668
Sn1 0.000 0.000 0.000
In1 0.000 0.000 0.335
In2 0.000 0.000 0.665

Output
**Space group**: P4/mmm (123)
**Calculated volume**: 367.9 Å³ per cell
**Magnetic moment**: 0.0 μB per formula unit
**ΔE_f**: 0.30 eV per formula unit
**Total DFT energy (no corrections)**: -3.55 eV/atom

# 11
An optimized crystal structure of CrNCl2, computed with GGA-PBE.

abc: 5.744 5.744 5.832
angles: 60.50 60.50 90.00
Atoms (fractional coordinates):
Cr1 0.750 0.250 0.500
Cr2 0.000 0.000 0.000
Cl1 0.655 0.125 0.250
Cl2 0.875 0.905 0.750
Cl3 0.375 0.345 0.750
Cl4 0.095 0.625 0.250
N1 0.500 0.500 0.000
N2 0.250 0.750 0.500

Output
**Formation energy from raw total energies**: 1.388 eV per atom
**Space group**: I-42d (122)
**Calculated volume**: 138.1 Å³ per cell
**Magnetic moment**: 0.0 μB per formula unit
**Energy relative to the lowest polymorph listed for this composition**: 223 meV per atom
**Total DFT energy (no corrections)**: -4.02 eV/atom

# 12
An optimized crystal structure of NiOs2Se, computed with GGA-PBE.

abc: 5.125 5.125 5.125
angles: 146.43 130.22 61.39
Atoms (fractional coordinates):
Os1 0.732 0.232 0.500
Os2 0.994 0.994 0.000
Se1 0.500 0.500 0.000
Ni1 0.274 0.774 0.500

Output
**Formation energy from raw total energies**: 0.631 eV per atom
**Space group**: Imm2 (44)
**Calculated volume**: 56.3 Å³ per cell
**Magnetic moment**: 0.0 μB per formula unit
**Total DFT energy (no corrections)**: -7.30 eV/atom